{
  "formula": "Tm2ThGa",
  "functional": "PBE",
  "state": "relaxed",
  "lattice_angstrom": [[3.490, 0.000, 0.000], [0.000, 3.490, 0.000], [0.000, 0.000, 8.701]],
  "species": ["Tm", "Tm", "Th", "Ga"],
  "fractional_positions": [[0.000, 0.000, 0.213], [0.000, 0.000, 0.787], [0.500, 0.500, 0.500], [0.500, 0.500, 0.000]],
  "delta_e_f_ev_per_atom": -0.28
}


{
  "formula": "Tm2Th2Ga3",
  "functional": "PBE",
  "state": "relaxed",
  "lattice_angstrom": [[4.086, 0.000, 0.000], [-0.005, 5.768, 0.000], [-2.018, -2.093, 7.963]],
  "species": ["Tm", "Tm", "Th", "Th", "Ga", "Ga", "Ga"],
  "fractional_positions": [[0.104, 0.010, 0.203], [0.896, 0.990, 0.797], [0.353, 0.454, 0.706], [0.647, 0.546, 0.294], [0.000, 0.500, 0.000], [0.266, 0.871, 0.533], [0.734, 0.129, 0.467]],
  "delta_e_f_ev_per_atom": -0.33
}


{
  "formula": "Tm2ThGa",
  "functional": "PBE",
  "state": "relaxed",
  "lattice_angstrom": [[3.542, 0.000, 0.000], [-1.771, 3.067, 0.000], [0.000, 0.000, 30.279]],
  "species": ["Tm", "Tm", "Tm", "Tm", "Tm", "Tm", "Th", "Th", "Th", "Ga", "Ga", "Ga"],
  "fractional_positions": [[0.000, 0.000, 0.239], [0.000, 0.000, 0.761], [0.333, 0.667, 0.427], [0.333, 0.667, 0.906], [0.667, 0.333, 0.094], [0.667, 0.333, 0.573], [0.000, 0.000, 0.000], [0.333, 0.667, 0.667], [0.667, 0.333, 0.333], [0.000, 0.000, 0.500], [0.333, 0.667, 0.167], [0.667, 0.333, 0.833]],
  "delta_e_f_ev_per_atom": -0.19
}


{
  "formula": "Tm2ThGa6",
  "functional": "PBE",
  "state": "relaxed",
  "lattice_angstrom": [[7.318, 0.000, 0.000], [-3.659, 6.337, 0.000], [0.000, 0.000, 4.111]],
  "species": ["Tm", "Tm", "Th", "Ga", "Ga", "Ga", "Ga", "Ga", "Ga"],
  "fractional_positions": [[0.333, 0.667, 0.000], [0.667, 0.333, 0.000], [0.000, 0.000, 0.000], [0.000, 0.335, 0.500], [0.000, 0.665, 0.500], [0.335, 0.000, 0.500], [0.335, 0.335, 0.500], [0.665, 0.000, 0.500], [0.665, 0.665, 0.500]],
  "delta_e_f_ev_per_atom": -0.59
}


{
  "formula": "Tm2ThGa",
  "functional": "PBE",
  "state": "relaxed",
  "lattice_angstrom": [[3.534, 0.000, 0.000], [-1.767, 3.061, 0.000], [0.000, 0.000, 30.776]],
  "species": ["Tm", "Tm", "Tm", "Tm", "Tm", "Tm", "Th", "Th", "Th", "Ga", "Ga", "Ga"],
  "fractional_positions": [[0.000, 0.000, 0.000], [0.000, 0.000, 0.192], [0.333, 0.667, 0.667], [0.333, 0.667, 0.859], [0.667, 0.333, 0.333], [0.667, 0.333, 0.525], [0.000, 0.000, 0.762], [0.333, 0.667, 0.429], [0.667, 0.333, 0.096], [0.000, 0.000, 0.596], [0.333, 0.667, 0.263], [0.667, 0.333, 0.930]],
  "delta_e_f_ev_per_atom": -0.17
}


{
  "formula": "Tm2ThGa6",
  "functional": "PBE",
  "state": "relaxed",
  "lattice_angstrom": [[-2.131, 3.526, 6.642], [2.131, -3.526, 6.642], [2.131, 3.526, -6.642]],
  "species": ["Tm", "Tm", "Th", "Ga", "Ga", "Ga", "Ga", "Ga", "Ga"],
  "fractional_positions": [[0.126, 0.126, 0.000], [0.874, 0.874, 0.000], [0.500, 0.000, 0.500], [0.124, 0.317, 0.807], [0.182, 0.500, 0.682], [0.490, 0.683, 0.807], [0.510, 0.317, 0.193], [0.818, 0.500, 0.318], [0.876, 0.683, 0.193]],
  "delta_e_f_ev_per_atom": -0.42
}


{
  "formula": "TmThGa2",
  "functional": "PBE",
  "state": "relaxed",
  "lattice_angstrom": [[7.245, 0.000, 0.000], [0.000, 7.245, 0.000], [0.000, 0.000, 7.245]],
  "species": ["Tm", "Tm", "Tm", "Tm", "Th", "Th", "Th", "Th", "Ga", "Ga", "Ga", "Ga", "Ga", "Ga", "Ga", "Ga"],
  "fractional_positions": [[0.000, 0.000, 0.000], [0.000, 0.500, 0.500], [0.500, 0.000, 0.500], [0.500, 0.500, 0.000], [0.000, 0.000, 0.500], [0.000, 0.500, 0.000], [0.500, 0.000, 0.000], [0.500, 0.500, 0.500], [0.250, 0.250, 0.250], [0.250, 0.250, 0.750], [0.250, 0.750, 0.250], [0.250, 0.750, 0.750], [0.750, 0.250, 0.250], [0.750, 0.250, 0.750], [0.750, 0.750, 0.250], [0.750, 0.750, 0.750]],
  "delta_e_f_ev_per_atom": -0.47
}


{
  "formula": "TmTh2Ga2",
  "functional": "PBE",
  "state": "relaxed",
  "lattice_angstrom": [[7.748, 0.000, 0.000], [0.000, 7.748, 0.000], [0.000, 0.000, 4.405]],
  "species": ["Tm", "Tm", "Th", "Th", "Th", "Th", "Ga", "Ga", "Ga", "Ga"],
  "fractional_positions": [[0.000, 0.000, 0.000], [0.500, 0.500, 0.000], [0.174, 0.326, 0.500], [0.326, 0.826, 0.500], [0.674, 0.174, 0.500], [0.826, 0.674, 0.500], [0.122, 0.622, 0.000], [0.378, 0.122, 0.000], [0.622, 0.878, 0.000], [0.878, 0.378, 0.000]],
  "delta_e_f_ev_per_atom": -0.48
}


{
  "formula": "TmThGa3",
  "functional": "PBE",
  "state": "relaxed",
  "lattice_angstrom": [[2.137, -12.758, 0.000], [2.137, 12.758, 0.000], [0.000, 0.000, 4.169]],
  "species": ["Tm", "Tm", "Th", "Th", "Ga", "Ga", "Ga", "Ga", "Ga", "Ga"],
  "fractional_positions": [[0.204, 0.796, 0.750], [0.796, 0.204, 0.250], [0.073, 0.927, 0.250], [0.927, 0.073, 0.750], [0.321, 0.679, 0.750], [0.378, 0.622, 0.250], [0.475, 0.525, 0.250], [0.525, 0.475, 0.750], [0.622, 0.378, 0.750], [0.679, 0.321, 0.250]],
  "delta_e_f_ev_per_atom": -0.63
}


{
  "formula": "TmThGa2",
  "functional": "PBE",
  "state": "relaxed",
  "lattice_angstrom": [[3.565, 0.000, 0.000], [0.000, 3.565, 0.000], [0.000, 0.000, 7.417]],
  "species": ["Tm", "Th", "Ga", "Ga"],
  "fractional_positions": [[0.000, 0.000, 0.000], [0.000, 0.000, 0.500], [0.500, 0.500, 0.232], [0.500, 0.500, 0.768]],
  "delta_e_f_ev_per_atom": -0.49
}


{
  "formula": "TmThGa2",
  "functional": "PBE",
  "state": "relaxed",
  "lattice_angstrom": [[3.663, 0.000, 0.000], [-1.831, 3.172, 0.000], [0.000, 0.000, 26.454]],
  "species": ["Tm", "Tm", "Tm", "Th", "Th", "Th", "Ga", "Ga", "Ga", "Ga", "Ga", "Ga"],
  "fractional_positions": [[0.000, 0.000, 0.000], [0.333, 0.667, 0.667], [0.667, 0.333, 0.333], [0.000, 0.000, 0.500], [0.333, 0.667, 0.167], [0.667, 0.333, 0.833], [0.000, 0.000, 0.254], [0.000, 0.000, 0.746], [0.333, 0.667, 0.413], [0.333, 0.667, 0.921], [0.667, 0.333, 0.079], [0.667, 0.333, 0.587]],
  "delta_e_f_ev_per_atom": -0.32
}


{
  "formula": "TmThGa2",
  "functional": "PBE",
  "state": "relaxed",
  "lattice_angstrom": [[4.382, 0.000, 0.000], [0.000, 4.084, 0.000], [-2.182, 0.000, 5.492]],
  "species": ["Tm", "Th", "Ga", "Ga"],
  "fractional_positions": [[0.000, 0.000, 0.000], [0.719, 0.500, 0.438], [0.289, 0.000, 0.577], [0.439, 0.500, 0.878]],
  "delta_e_f_ev_per_atom": -0.56
}


Repeat the sixth record exactly.
{
  "formula": "Tm2ThGa6",
  "functional": "PBE",
  "state": "relaxed",
  "lattice_angstrom": [[-2.131, 3.526, 6.642], [2.131, -3.526, 6.642], [2.131, 3.526, -6.642]],
  "species": ["Tm", "Tm", "Th", "Ga", "Ga", "Ga", "Ga", "Ga", "Ga"],
  "fractional_positions": [[0.126, 0.126, 0.000], [0.874, 0.874, 0.000], [0.500, 0.000, 0.500], [0.124, 0.317, 0.807], [0.182, 0.500, 0.682], [0.490, 0.683, 0.807], [0.510, 0.317, 0.193], [0.818, 0.500, 0.318], [0.876, 0.683, 0.193]],
  "delta_e_f_ev_per_atom": -0.42
}